## Nd2NiIr (GGA-PBE)

Data for Nd2NiIr after structural relaxation.

It has space group Amm2 (No. 38), with a = 4.225 Å, b = 3.993 Å, c = 10.825 Å, α = 90.00°, β = 90.00° and γ = 90.00°. Symmetry generates all atoms from Nd at (0.000, 0.000, 0.000), Nd at (0.500, 0.000, 0.282), Ni at (0.000, 0.000, 0.717) and Ir at (0.500, 0.000, 0.567).

The energy relative to the lowest polymorph listed for this composition comes out at 17 meV per atom.

## Nd2NiIr (GGA-PBE)

Data for Nd2NiIr after structural relaxation.

It has space group P2_1/m (No. 11), with a = 5.829 Å, b = 4.181 Å, c = 8.008 Å, α = 90.00°, β = 110.15° and γ = 90.00°. Symmetry generates all atoms from Nd at (0.216, 0.250, 0.432), Nd at (0.219, 0.250, 0.927), Ni at (0.353, 0.750, 0.212) and Ir at (0.352, 0.750, 0.715).

The energy relative to the lowest polymorph listed for this composition comes out at 0 meV per atom.

## NdNiIr (GGA-PBE)

Data for NdNiIr after structural relaxation.

It has space group Imma (No. 74), with a = 5.217 Å, b = 5.443 Å, c = 7.437 Å, α = 90.00°, β = 90.00° and γ = 90.00°. Symmetry generates all atoms from Nd at (0.000, 0.250, 0.123), Ni at (0.250, 0.250, 0.750) and Ir at (0.000, 0.000, 0.500).

As for the final energy: -6.938 eV/atom.

## NdNiIr (GGA-PBE)

Data for NdNiIr after structural relaxation.

It has space group F-43m (No. 216), with a = 6.225 Å, b = 6.225 Å, c = 6.225 Å, α = 90.00°, β = 90.00° and γ = 90.00°. Symmetry generates all atoms from Nd at (0.000, 0.000, 0.000), Ni at (0.250, 0.250, 0.750) and Ir at (0.000, 0.000, 0.500).

As for the final energy: -6.450 eV/atom.

## Pr2NdNiSn3Ir2 (GGA-PBE)

Data for Pr2NdNiSn3Ir2 after structural relaxation.

It has space group Amm2 (No. 38), with a = 4.110 Å, b = 13.052 Å, c = 7.540 Å, α = 90.00°, β = 90.00° and γ = 90.00°. Symmetry generates all atoms from Pr at (0.000, 0.206, 0.000), Nd at (0.000, 0.000, 0.381), Ni at (0.000, 0.000, 0.793), Sn at (0.500, 0.000, 0.041), Sn at (0.500, 0.123, 0.670) and Ir at (0.500, 0.166, 0.294).

As for the final energy: -6.229 eV/atom.

## PrNd2NiSn3Ir2 (GGA-PBE)

Data for PrNd2NiSn3Ir2 after structural relaxation.

It has space group Amm2 (No. 38), with a = 4.099 Å, b = 13.024 Å, c = 7.522 Å, α = 90.00°, β = 90.00° and γ = 90.00°. Symmetry generates all atoms from Pr at (0.000, 0.000, 0.000), Nd at (0.000, 0.206, 0.619), Ni at (0.000, 0.000, 0.413), Sn at (0.500, 0.000, 0.659), Sn at (0.500, 0.124, 0.290) and Ir at (0.500, 0.167, 0.912).

As for the final energy: -6.234 eV/atom.

## Nd3NiSn3Ir2 (GGA-PBE)

Data for Nd3NiSn3Ir2 after structural relaxation.

It has space group P-62m (No. 189), with a = 7.5134 Å, b = 7.5134 Å, c = 4.0824 Å, α = 90.00°, β = 90.00° and γ = 120.00°. Symmetry generates all atoms from Nd at (0.0000, 0.5888, 0.0000), Ni at (0.0000, 0.0000, 0.0000), Sn at (0.0000, 0.2474, 0.5000) and Ir at (0.3333, 0.6667, 0.5000).

As for the final energy: -6.240 eV/atom.

## Nd3Ni2Sn3Ir (GGA-PBE)

Data for Nd3Ni2Sn3Ir after structural relaxation.

It has space group P-62m (No. 189), with a = 7.4384 Å, b = 7.4384 Å, c = 4.1283 Å, α = 90.00°, β = 90.00° and γ = 120.00°. Symmetry generates all atoms from Nd at (0.0000, 0.5861, 0.0000), Ni at (0.3333, 0.6667, 0.5000), Sn at (0.0000, 0.2548, 0.5000) and Ir at (0.0000, 0.0000, 0.0000).

As for the final energy: -5.818 eV/atom.

## NdNiSn2Ir (GGA-PBE)

Data for NdNiSn2Ir after structural relaxation.

It has space group P4/nmm (No. 129, origin choice 2), with a = 4.434 Å, b = 4.434 Å, c = 10.535 Å, α = 90.00°, β = 90.00° and γ = 90.00°. Symmetry generates all atoms from Nd at (0.250, 0.250, 0.245), Ni at (0.250, 0.250, 0.624), Sn at (0.250, 0.250, 0.859), Sn at (0.250, 0.750, 0.500) and Ir at (0.250, 0.750, 0.000).

As for the final energy: -6.006 eV/atom.

## Nd3NiSn3Ir2 (GGA-PBE)

Data for Nd3NiSn3Ir2 after structural relaxation.

It has space group Amm2 (No. 38), with a = 4.087 Å, b = 13.020 Å, c = 7.505 Å, α = 90.00°, β = 90.00° and γ = 90.00°. Symmetry generates all atoms from Nd at (0.000, 0.000, 0.000), Nd at (0.000, 0.206, 0.618), Ni at (0.000, 0.000, 0.411), Sn at (0.500, 0.000, 0.659), Sn at (0.500, 0.124, 0.288) and Ir at (0.500, 0.166, 0.912).

As for the final energy: -6.240 eV/atom.

## Nd2ZnNiIr (GGA-PBE)

Data for Nd2ZnNiIr after structural relaxation.

It has space group Imm2 (No. 44), with a = 4.289 Å, b = 8.627 Å, c = 5.624 Å, α = 90.00°, β = 90.00° and γ = 90.00°. Symmetry generates all atoms from Nd at (0.000, 0.199, 0.000), Zn at (0.000, 0.000, 0.496), Ni at (0.000, 0.500, 0.745) and Ir at (0.000, 0.500, 0.272).

As for the final energy: -5.564 eV/atom.

## NdNpIr (GGA-PBE)

Data for NdNpIr after structural relaxation.

It has space group F-43m (No. 216), with a = 6.761 Å, b = 6.761 Å, c = 6.761 Å, α = 90.00°, β = 90.00° and γ = 90.00°. Symmetry generates all atoms from Nd at (0.000, 0.000, 0.000), Np at (0.000, 0.000, 0.500) and Ir at (0.250, 0.250, 0.750).

The energy relative to the lowest polymorph listed for this composition comes out at 0 meV per atom.

## Nd2IrO4 (GGA-PBE)

Data for Nd2IrO4 after structural relaxation.

It has space group Fd-3m (No. 227, origin choice 2), with a = 9.791 Å, b = 9.791 Å, c = 9.791 Å, α = 90.00°, β = 90.00° and γ = 90.00°. Symmetry generates all atoms from Nd at (0.000, 0.000, 0.000), Ir at (0.125, 0.125, 0.625) and O at (0.007, 0.007, 0.243).

As for the final energy: -7.295 eV/atom.

## Nd3IrO7 (GGA-PBE)

Data for Nd3IrO7 after structural relaxation.

It has space group P2_1/c (No. 14), with a = 6.608 Å, b = 7.476 Å, c = 13.240 Å, α = 90.00°, β = 111.62° and γ = 90.00°. Symmetry generates all atoms from Nd at (0.012, 0.001, 0.245), Nd at (0.087, 0.247, 0.015), Nd at (0.468, 0.739, 0.205), Ir at (0.500, 0.000, 0.000), Ir at (0.500, 0.000, 0.500), O at (0.103, 0.736, 0.170), O at (0.163, 0.228, 0.698), O at (0.173, 0.541, 0.453), O at (0.209, 0.548, 0.995), O at (0.401, 0.250, 0.451), O at (0.405, 0.544, 0.838) and O at (0.494, 0.544, 0.355).

The energy relative to the lowest polymorph listed for this composition comes out at 0 meV per atom.

## Nd2Ir2O5 (GGA-PBE)

Data for Nd2Ir2O5 after structural relaxation.

It has space group P4/mmm (No. 123), with a = 3.635 Å, b = 3.635 Å, c = 9.659 Å, α = 90.00°, β = 90.00° and γ = 90.00°. Symmetry generates all atoms from Nd at (0.000, 0.000, 0.234), Ir at (0.500, 0.500, 0.000), Ir at (0.500, 0.500, 0.500), O at (0.000, 0.000, 0.000) and O at (0.000, 0.500, 0.380).

The energy relative to the lowest polymorph listed for this composition comes out at 509 meV per atom.

## NdIrO3 (GGA-PBE)

Data for NdIrO3 after structural relaxation.

It has space group R-3c (No. 167, hexagonal axes), with a = 5.8416 Å, b = 5.8416 Å, c = 12.3536 Å, α = 90.00°, β = 90.00° and γ = 120.00°. Symmetry generates all atoms from Nd at (0.0000, 0.0000, 0.2500), Ir at (0.0000, 0.0000, 0.0000) and O at (0.0000, 0.3942, 0.2500).

As for the final energy: -7.594 eV/atom.

## Nd2IrO6 (GGA-PBE)

Data for Nd2IrO6 after structural relaxation.

It has space group P2_1/c (No. 14), with a = 5.363 Å, b = 6.176 Å, c = 8.835 Å, α = 90.00°, β = 122.11° and γ = 90.00°. Symmetry generates all atoms from Nd at (0.215, 0.094, 0.254), Ir at (0.500, 0.000, 0.000), O at (0.146, 0.156, 0.952), O at (0.293, 0.722, 0.936) and O at (0.381, 0.046, 0.754).

As for the final energy: -7.522 eV/atom.

## Nd3IrO7 (GGA-PBE)

Data for Nd3IrO7 after structural relaxation.

It has space group Cmcm (No. 63), with a = 10.928 Å, b = 7.404 Å, c = 7.511 Å, α = 90.00°, β = 90.00° and γ = 90.00°. Symmetry generates all atoms from Nd at (0.000, 0.000, 0.000), Nd at (0.222, 0.308, 0.250), Ir at (0.000, 0.500, 0.000), O at (0.000, 0.407, 0.250), O at (0.127, 0.313, 0.542) and O at (0.131, 0.027, 0.250).

The energy relative to the lowest polymorph listed for this composition comes out at 5 meV per atom.

## NdIrO3 (GGA-PBE)

Data for NdIrO3 after structural relaxation.

It has space group R-3 (No. 148, hexagonal axes), with a = 5.7375 Å, b = 5.7375 Å, c = 14.2189 Å, α = 90.00°, β = 90.00° and γ = 120.00°. Symmetry generates all atoms from Nd at (0.0000, 0.0000, 0.1330), Ir at (0.0000, 0.0000, 0.3394) and O at (0.0147, 0.3722, 0.9278).

As for the final energy: -7.452 eV/atom.

## NdIrO3 (GGA-PBE)

Data for NdIrO3 after structural relaxation.

It has space group Pnma (No. 62), with a = 5.918 Å, b = 7.797 Å, c = 5.368 Å, α = 90.00°, β = 90.00° and γ = 90.00°. Symmetry generates all atoms from Nd at (0.083, 0.250, 0.032), Ir at (0.000, 0.000, 0.500), O at (0.041, 0.750, 0.377) and O at (0.193, 0.554, 0.823).

As for the final energy: -7.640 eV/atom.